Compound: ZrCrAs
Source: Alexandria via LeMat-Bulk
Functional: GGA-PBE
Structure: optimized geometry

Geometry as extended XYZ:
```
3
Lattice="4.240 0.000 0.000 -2.120 3.672 0.000 0.000 0.000 3.294" Properties=species:S:1:pos:R:3 pbc="T T T"
Zr 0.000 0.000 0.000
Cr 0.000 2.448 1.647
As 2.120 1.224 1.647
```

## Properties
Formation energy from the elements = -25.06 kJ/mol of atoms
Crystal system = hexagonal
SG = P-6m2, No. 187